Pu2MgPb3 | PBE | relaxed

Summary:
Its total moment is 11.88 μB/cell. The value obtained for the energy above the most stable polymorph in this dataset is 0.0000 eV/atom.

abc: 3.443 3.443 13.814
angles: 90.00 90.00 90.00
Space group P4/mmm (No. 123)
Unique sites:
Pu 0.000 0.000 0.170 (multiplicity 2)
Mg 0.000 0.000 0.500 (multiplicity 1)
Pb 0.500 0.500 0.000 (multiplicity 1)
Pb 0.500 0.500 0.345 (multiplicity 2)


PuMg3Pb3 | PBE | relaxed

Summary:
Its total moment is 33.44 μB/cell.

abc: 8.5589 8.5589 19.9230
angles: 90.00 90.00 120.00
Space group R-3 (No. 148, hexagonal axes)
Unique sites:
Pu 0.0000 0.0000 0.1681 (multiplicity 6)
Mg 0.0016 0.3449 0.3861 (multiplicity 18)
Pb 0.0019 0.3147 0.5654 (multiplicity 18)


Pu3Mg2Pb3 | PBE | relaxed

Summary:
Its total moment is 35.55 μB/cell.

abc: 4.627 4.727 19.653
angles: 90.00 90.00 90.00
Space group Immm (No. 71)
Unique sites:
Pu 0.000 0.000 0.000 (multiplicity 2)
Pu 0.000 0.500 0.119 (multiplicity 4)
Mg 0.000 0.000 0.250 (multiplicity 4)
Pb 0.000 0.000 0.500 (multiplicity 2)
Pb 0.000 0.500 0.357 (multiplicity 4)


PuMg4Pb | PBE | relaxed

Summary:
Its total moment is 23.33 μB/cell.

abc: 8.543 8.543 8.543
angles: 90.00 90.00 90.00
Space group F-43m (No. 216)
Unique sites:
Pu 0.000 0.000 0.000 (multiplicity 4)
Mg 0.125 0.125 0.375 (multiplicity 16)
Pb 0.250 0.250 0.750 (multiplicity 4)


| no. | VASP energy (eV per atom) | ΔE_f (meV per atom) |
| --- | --- | --- |
| 1 | -7.000 | -103 |
| 2 | -4.270 | 50 |
| 3 | -7.257 | -93 |
| 4 | -3.969 | 101 |